# GGA-PBE Mg12In2Ga5, optimized geometry
# Magnetic moment ... 0.000 μB/atom
# Symmetry ... No. 12
# Crystal system ... monoclinic
# Formation enthalpy at 0 K ... -1.08 kJ per mole of atoms
data_Mg12In2Ga5
_chemical_formula_sum 'Mg12 In2 Ga5'
_cell_length_a 6.1311
_cell_length_b 8.3921
_cell_length_c 9.3340
_cell_angle_alpha 101.24
_cell_angle_beta 90.00
_cell_angle_gamma 111.43
_space_group_name_H-M_alt 'P 1'
_space_group_IT_number 1
loop_
_space_group_symop_operation_xyz
'x,y,z'
loop_
_atom_site_label
_atom_site_fract_x
_atom_site_fract_y
_atom_site_fract_z
Mg1 0.1224 0.2449 0.3320
Mg2 0.0550 0.6009 0.8777
Mg3 0.5459 0.6009 0.8777
Mg4 0.1122 0.7174 0.3783
Mg5 0.6053 0.7174 0.3783
Mg6 0.4714 0.9428 0.6771
Mg7 0.5286 0.0572 0.3229
Mg8 0.8878 0.2826 0.6217
Mg9 0.3947 0.2826 0.6217
Mg10 0.9450 0.3991 0.1223
Mg11 0.4541 0.3991 0.1223
Mg12 0.8776 0.7551 0.6680
In1 0.7555 0.0000 0.0000
In2 0.2445 0.0000 0.0000
Ga1 0.2898 0.5797 0.5978
Ga2 0.3598 0.7196 0.1280
Ga3 0.0000 0.0000 0.5000
Ga4 0.6402 0.2804 0.8720
Ga5 0.7102 0.4203 0.4022

# GGA-PBE Er4Tl5Cd, optimized geometry
# Magnetic moment ... 0.000 μB/atom
# Symmetry ... No. 12
# Crystal system ... monoclinic
# Formation enthalpy at 0 K ... -25.49 kJ per mole of atoms
data_Er4Tl5Cd
_chemical_formula_sum 'Er4 Tl5 Cd1'
_cell_length_a 4.9793
_cell_length_b 6.4329
_cell_length_c 9.4598
_cell_angle_alpha 113.54
_cell_angle_beta 105.26
_cell_angle_gamma 90.00
_space_group_name_H-M_alt 'P 1'
_space_group_IT_number 1
loop_
_space_group_symop_operation_xyz
'x,y,z'
loop_
_atom_site_label
_atom_site_fract_x
_atom_site_fract_y
_atom_site_fract_z
Er1 0.6996 0.2794 0.3991
Er2 0.0889 0.8251 0.1778
Er3 0.3004 0.7206 0.6009
Er4 0.9111 0.1749 0.8222
Tl1 0.2958 0.2083 0.5916
Tl2 0.1031 0.3421 0.2061
Tl3 0.8969 0.6579 0.7939
Tl4 0.5000 0.5000 0.0000
Tl5 0.7042 0.7917 0.4084
Cd1 0.5000 0.0000 0.0000

# GGA-PBE Tb2Ho3ErSb6, optimized geometry
# Magnetic moment ... 0.000 μB/atom
# Symmetry ... No. 12
# Uncorrected formation energy ... -1122 meV per atom
# Crystal system ... monoclinic
data_Tb2Ho3ErSb6
_chemical_formula_sum 'Tb2 Ho3 Er1 Sb6'
_cell_length_a 4.3754
_cell_length_b 8.7502
_cell_length_c 9.7822
_cell_angle_alpha 102.86
_cell_angle_beta 102.92
_cell_angle_gamma 90.00
_space_group_name_H-M_alt 'P 1'
_space_group_IT_number 1
loop_
_space_group_symop_operation_xyz
'x,y,z'
loop_
_atom_site_label
_atom_site_fract_x
_atom_site_fract_y
_atom_site_fract_z
Tb1 0.8337 0.6670 0.6673
Tb2 0.1663 0.3330 0.3327
Ho1 0.5000 0.5000 0.0000
Ho2 0.8328 0.1665 0.6656
Ho3 0.1672 0.8335 0.3344
Er1 0.5000 0.0000 0.0000
Sb1 0.3338 0.9187 0.6677
Sb2 0.6662 0.5845 0.3324
Sb3 0.6662 0.0813 0.3323
Sb4 0.9991 0.2488 0.9983
Sb5 0.0009 0.7512 0.0017
Sb6 0.3338 0.4155 0.6676

# GGA-PBE Sn4Te2PSe, optimized geometry
# Magnetic moment ... 0.000 μB/atom
# Symmetry ... No. 10
# Uncorrected formation energy ... -210 meV per atom
# Crystal system ... monoclinic
data_Sn4Te2PSe
_chemical_formula_sum 'Sn4 Te2 P1 Se1'
_cell_length_a 4.2794
_cell_length_b 7.5015
_cell_length_c 7.4621
_cell_angle_alpha 70.82
_cell_angle_beta 90.00
_cell_angle_gamma 90.00
_space_group_name_H-M_alt 'P 1'
_space_group_IT_number 1
loop_
_space_group_symop_operation_xyz
'x,y,z'
loop_
_atom_site_label
_atom_site_fract_x
_atom_site_fract_y
_atom_site_fract_z
Sn1 0.0000 0.7200 0.7706
Sn2 0.0000 0.2800 0.2294
Sn3 0.5000 0.7265 0.2479
Sn4 0.5000 0.2735 0.7521
Te1 0.0000 0.0000 0.0000
Te2 0.5000 0.0000 0.5000
P1 0.5000 0.5000 0.0000
Se1 0.0000 0.5000 0.5000

Q: Which energy values were calculated for the entries above? A: -2.103 -3.364 -5.480 -4.108, in eV/atom.